Entry 1:
Here is a relaxed structure of TbFeH3 from the Alexandria database. Energies are from PBE-GGA.

Results
Its density of states at the Fermi level is 1.74 states/eV/cell.

a b c (Å): 3.515 3.515 3.515
angles (deg): 90.00 90.00 90.00
Space group Pm-3m (No. 221)
Inequivalent atoms, fractional coordinates:
1 Tb 0.000 0.000 0.000
2 Fe 0.500 0.500 0.500
3 H 0.000 0.500 0.500

Entry 2:
Here is a relaxed structure of TbFeH5 from the Alexandria database. Energies are from PBE-GGA.

a b c (Å): 4.626 7.936 5.898
angles (deg): 90.00 90.00 90.00
Space group Cmcm (No. 63)
Inequivalent atoms, fractional coordinates:
1 Tb 0.000 0.161 0.250
2 Fe 0.000 0.500 0.000
3 H 0.000 0.396 0.750
4 H 0.248 0.122 0.571

Entry 3:
Here is a relaxed structure of Tb2Ti2Fe22H from the Alexandria database. Energies are from PBE-GGA.

Results
Its density of states at the Fermi level is 45.11 states/eV/cell.

a b c (Å): 11.980 4.718 11.989
angles (deg): 90.00 90.10 90.00
Space group Cm (No. 8)
Inequivalent atoms, fractional coordinates:
1 Tb 0.000 0.000 0.000
2 Tb 0.000 0.500 0.500
3 Ti 0.311 0.000 0.687
4 Ti 0.314 0.500 0.187
5 Fe 0.105 0.000 0.612
6 Fe 0.108 0.500 0.115
7 Fe 0.111 0.500 0.888
8 Fe 0.114 0.000 0.387
9 Fe 0.173 0.000 0.826
10 Fe 0.174 0.500 0.681
11 Fe 0.175 0.500 0.326
12 Fe 0.177 0.000 0.181
13 Fe 0.247 0.250 0.002
14 Fe 0.247 0.251 0.502
15 Fe 0.318 0.500 0.825
16 Fe 0.320 0.000 0.324
17 Fe 0.382 0.500 0.617
18 Fe 0.385 0.000 0.116
19 Fe 0.385 0.000 0.892
20 Fe 0.388 0.500 0.394
21 Fe 0.497 0.251 0.752
22 Fe 0.499 0.250 0.253
23 H 0.499 0.000 0.001

Entry 4:
Here is a relaxed structure of FeTcH2 from the Alexandria database. Energies are from PBE-GGA.

Results
Its density of states at the Fermi level is 8.63 states/eV/cell.

a b c (Å): 5.083 5.083 5.083
angles (deg): 90.00 90.00 90.00
Space group Fm-3m (No. 225)
Inequivalent atoms, fractional coordinates:
1 Fe 0.000 0.000 0.000
2 Tc 0.000 0.000 0.500
3 H 0.250 0.250 0.250

Entry 5:
Here is a relaxed structure of FeTcH3 from the Alexandria database. Energies are from PBE-GGA.

Results
Its density of states at the Fermi level is 2.72 states/eV/cell.

a b c (Å): 3.424 3.424 3.424
angles (deg): 90.00 90.00 90.00
Space group Pm-3m (No. 221)
Inequivalent atoms, fractional coordinates:
1 Fe 0.000 0.000 0.000
2 Tc 0.500 0.500 0.500
3 H 0.000 0.500 0.500

Entry 6:
Here is a relaxed structure of FeTcH2 from the Alexandria database. Energies are from PBE-GGA.

Results
Its density of states at the Fermi level is 5.67 states/eV/cell.

a b c (Å): 2.7292 2.7292 14.1106
angles (deg): 90.00 90.00 120.00
Space group R3m (No. 160, hexagonal axes)
Inequivalent atoms, fractional coordinates:
1 Fe 0.0000 0.0000 0.0000
2 Tc 0.0000 0.0000 0.8188
3 H 0.0000 0.0000 0.3918
4 H 0.0000 0.0000 0.5916

| no. | final energy (eV/atom) |
| --- | --- |
| 1 | -5.01 |
| 2 | -4.68 |
| 3 | -8.04 |
| 4 | -5.78 |
| 5 | -5.38 |
| 6 | -6.19 |